(1)
Material: NbNi2Rh
Method: DFT, PBE
State: optimized geometry

Values from the calculation:
Volume: 232.5 Å³ per cell
DFT formation energy: 0.192 eV/atom
Total energy: -7.054 eV/atom

Cell lengths 6.7505, 6.7505, 5.1019 Å; angles 90.00, 90.00, 90.00 degrees
Last column: nearest neighbours and their distance in Å.
Space group I-42d (No. 122)
One atom of each set of equivalent atoms:
Nb (0.0000, 0.0000, 0.0000) x4  4 Ni 2.45, 2 Rh 2.55
Ni (0.2457, 0.2500, 0.1250) x8  2 Nb 2.45, 2 Rh 2.49, 2 Ni 2.55
Rh (0.0000, 0.0000, 0.5000) x4  4 Ni 2.49, 2 Nb 2.55


(2)
Material: Nb2Ni2Rh
Method: DFT, PBE
State: optimized geometry

Values from the calculation:
Volume: 145.3 Å³ per cell
DFT formation energy: -0.290 eV/atom
Total energy: -8.100 eV/atom

Cell lengths 6.7558, 6.7558, 3.1846 Å; angles 90.00, 90.00, 90.00 degrees
Last column: nearest neighbours and their distance in Å.
Space group P4/mbm (No. 127)
One atom of each set of equivalent atoms:
Nb (0.1766, 0.3234, 0.0000) x4  6 Ni 2.47-2.61
Ni (0.1254, 0.6254, 0.5000) x4  1 Ni 2.40, 6 Nb 2.47-2.61, 2 Rh 2.67
Rh (0.0000, 0.0000, 0.5000) x2  4 Ni 2.67, 8 Nb 2.96


(3)
Material: Nb3NiRh
Method: DFT, PBE
State: optimized geometry

Values from the calculation:
Volume: 109.2 Å³ per cell
DFT formation energy: 1.270 eV/atom
Total energy: -7.398 eV/atom

Cell lengths 4.7803, 4.7803, 4.7803 Å; angles 90.00, 90.00, 90.00 degrees
Last column: nearest neighbours and their distance in Å.
Space group Pm-3m (No. 221)
One atom of each set of equivalent atoms:
Nb (0.0000, 0.0000, 0.5000) x3  2 Rh 2.39
Ni (0.5000, 0.5000, 0.5000) x1  12 Nb 3.38
Rh (0.0000, 0.0000, 0.0000) x1  6 Nb 2.39


(4)
Material: Nb2NiRh9
Method: DFT, PBE
State: optimized geometry

Values from the calculation:
Volume: 174.1 Å³ per cell
DFT formation energy: -0.321 eV/atom
Total energy: -7.995 eV/atom

Cell lengths 3.8794, 3.8794, 11.5691 Å; angles 90.00, 90.00, 90.00 degrees
Last column: nearest neighbours and their distance in Å.
Space group P4/mmm (No. 123)
One atom of each set of equivalent atoms:
Nb (0.0000, 0.0000, 0.1721) x2  12 Rh 2.73-2.78
Ni (0.0000, 0.0000, 0.5000) x1  12 Rh 2.70-2.74
Rh (0.0000, 0.5000, 0.0000) x2  8 Rh 2.74-2.75, 4 Nb 2.78
Rh (0.0000, 0.5000, 0.3377) x4  2 Ni 2.70, 8 Rh 2.70-2.75, 2 Nb 2.73
Rh (0.5000, 0.5000, 0.1686) x2  4 Nb 2.74, 8 Rh 2.75
Rh (0.5000, 0.5000, 0.5000) x1  8 Rh 2.70, 4 Ni 2.74


(5)
Material: NbNi2Rh
Method: DFT, PBE
State: optimized geometry

Values from the calculation:
Volume: 109.4 Å³ per cell
DFT formation energy: -0.165 eV/atom
Total energy: -7.411 eV/atom

Cell lengths 2.7816, 4.2531, 9.2491 Å; angles 90.00, 90.00, 90.00 degrees
Last column: nearest neighbours and their distance in Å.
Space group Pmmn (No. 59, origin choice 2)
One atom of each set of equivalent atoms:
Nb (0.2500, 0.2500, 0.2049) x2  6 Ni 2.62-2.81, 4 Rh 2.68, 2 Nb 2.78
Ni (0.2500, 0.7500, 0.0387) x2  4 Nb 2.62-2.65, 6 Ni 2.64-2.78, 2 Rh 2.77
Ni (0.2500, 0.7500, 0.5315) x2  4 Rh 2.57-2.65, 6 Ni 2.61-2.78, 2 Nb 2.81
Rh (0.2500, 0.2500, 0.7026) x2  6 Ni 2.57-2.77, 4 Nb 2.68, 2 Rh 2.78


(6)
Material: Nb2NiRh4
Method: DFT, PBE
State: optimized geometry

Values from the calculation:
Volume: 316.9 Å³ per cell
DFT formation energy: -0.252 eV/atom
Total energy: -8.155 eV/atom

Cell lengths 4.3787, 4.3787, 19.0858 Å; angles 90.00, 90.00, 120.00 degrees
Last column: nearest neighbours and their distance in Å.
Space group R-3m (No. 166, hexagonal axes)
One atom of each set of equivalent atoms:
Nb (0.0000, 0.0000, 0.0775) x6  7 Rh 2.64-2.67
Ni (0.0000, 0.0000, 0.5000) x3  8 Rh 2.55-2.70
Rh (0.0000, 0.0000, 0.2169) x6  4 Nb 2.64-2.66, 3 Ni 2.70, 1 Rh 2.85
Rh (0.0000, 0.0000, 0.3663) x6  1 Ni 2.55, 3 Nb 2.67, 4 Rh 2.82-2.85


(7)
Material: NbNi3Rh2
Method: DFT, PBE
State: optimized geometry

Values from the calculation:
Volume: 319.3 Å³ per cell
DFT formation energy: -0.133 eV/atom
Total energy: -7.152 eV/atom

Cell lengths 6.7435, 7.2217, 6.7170 Å; angles 90.00, 102.51, 90.00 degrees
Last column: nearest neighbours and their distance in Å.
Space group C2/c (No. 15)
One atom of each set of equivalent atoms:
Nb (0.0000, 0.0899, 0.2500) x4  5 Ni 2.48-2.75, 6 Rh 2.71-2.77
Ni (0.0000, 0.4337, 0.2500) x4  4 Ni 2.35-2.50, 1 Nb 2.48
Ni (0.2329, 0.4130, 0.0073) x8  3 Ni 2.35-2.50, 1 Nb 2.50
Rh (0.1260, 0.2395, 0.6263) x8  2 Rh 2.62-2.63, 9 Ni 2.68-2.85, 3 Nb 2.71-2.77


(8)
Material: Nb6NiRh
Method: DFT, PBE
State: optimized geometry

Values from the calculation:
Volume: 272.1 Å³ per cell
DFT formation energy: -0.125 eV/atom
Total energy: -9.319 eV/atom

Cell lengths 4.6534, 4.6534, 12.5637 Å; angles 90.00, 90.00, 90.00 degrees
Last column: nearest neighbours and their distance in Å.
Space group I4/mmm (No. 139)
One atom of each set of equivalent atoms:
Nb (0.0000, 0.0000, 0.2483) x4  8 Nb 2.81-2.84, 1 Ni 3.12
Nb (0.0000, 0.5000, 0.1226) x8  2 Ni 2.79, 2 Rh 2.79, 5 Nb 2.81-3.08
Ni (0.0000, 0.0000, 0.0000) x2  10 Nb 2.79-3.12
Rh (0.0000, 0.0000, 0.5000) x2  8 Nb 2.79


(9)
Material: NbNiRh
Method: DFT, PBE
State: optimized geometry

Values from the calculation:
Volume: 173.7 Å³ per cell
DFT formation energy: -0.345 eV/atom
Total energy: -8.079 eV/atom

Cell lengths 4.3117, 2.9635, 13.5922 Å; angles 90.00, 90.00, 90.00 degrees
Last column: nearest neighbours and their distance in Å.
Space group Amm2 (No. 38)
One atom of each set of equivalent atoms:
Nb (0.0000, 0.0000, 0.0000) x2  6 Rh 2.69-2.70, 4 Ni 2.70-2.73, 2 Nb 2.96
Nb (0.5000, 0.0000, 0.2165) x2  6 Ni 2.64-2.70, 4 Rh 2.69-2.73
Ni (0.0000, 0.0000, 0.6664) x2  4 Rh 2.69-2.73, 6 Nb 2.70, 2 Ni 2.96
Ni (0.5000, 0.0000, 0.8773) x2  4 Nb 2.64-2.73, 6 Rh 2.68-2.75
Rh (0.0000, 0.0000, 0.3350) x2  6 Ni 2.68-2.73, 4 Nb 2.69, 2 Rh 2.96
Rh (0.5000, 0.0000, 0.5477) x2  4 Ni 2.69-2.75, 6 Nb 2.70-2.73, 2 Rh 2.96


(10)
Material: Nb2Ni15Rh2
Method: DFT, PBE
State: optimized geometry

Values from the calculation:
Volume: 711.0 Å³ per cell
DFT formation energy: 0.089 eV/atom
Total energy: -6.309 eV/atom

Cell lengths 8.2338, 8.2338, 12.1091 Å; angles 90.00, 90.00, 120.00 degrees
Last column: nearest neighbours and their distance in Å.
Space group R-3m (No. 166, hexagonal axes)
One atom of each set of equivalent atoms:
Nb (0.0000, 0.0000, 0.1163) x6  6 Ni 2.45-2.58, 1 Rh 2.56
Ni (0.0000, 0.3041, 0.0000) x18  8 Ni 2.38-2.54
Ni (0.0000, 0.5000, 0.5000) x9  8 Ni 2.38-2.43, 2 Nb 2.45
Ni (0.0117, 0.5059, 0.1521) x18  8 Ni 2.32-2.54, 1 Nb 2.58
Rh (0.0000, 0.0000, 0.3276) x6  1 Nb 2.56


(11)
Material: Nb3NiRh
Method: DFT, PBE
State: optimized geometry

Values from the calculation:
Volume: 95.0 Å³ per cell
DFT formation energy: 0.834 eV/atom
Total energy: -7.835 eV/atom

Cell lengths 4.5636, 4.5636, 4.5636 Å; angles 90.00, 90.00, 90.00 degrees
Last column: nearest neighbours and their distance in Å.
Space group Pm-3m (No. 221)
One atom of each set of equivalent atoms:
Nb (0.0000, 0.0000, 0.5000) x3  2 Ni 2.28
Ni (0.0000, 0.0000, 0.0000) x1  6 Nb 2.28
Rh (0.5000, 0.5000, 0.5000) x1  12 Nb 3.23


(12)
Material: Nb2Ni3Rh3
Method: DFT, PBE
State: optimized geometry

Values from the calculation:
Volume: 110.4 Å³ per cell
DFT formation energy: -0.405 eV/atom
Total energy: -7.847 eV/atom

Cell lengths 3.8336, 3.8442, 7.4901 Å; angles 90.00, 90.00, 90.00 degrees
Last column: nearest neighbours and their distance in Å.
Space group Pmmm (No. 47)
One atom of each set of equivalent atoms:
Nb (0.0000, 0.0000, 0.2474) x2  6 Rh 2.67-2.70, 6 Ni 2.67-2.71
Ni (0.0000, 0.5000, 0.0000) x1  4 Ni 2.66, 4 Nb 2.67, 4 Rh 2.71
Ni (0.5000, 0.5000, 0.2468) x2  2 Ni 2.66, 6 Rh 2.67-2.70, 4 Nb 2.71
Rh (0.0000, 0.5000, 0.5000) x1  4 Ni 2.70, 4 Nb 2.70, 4 Rh 2.71
Rh (0.5000, 0.0000, 0.0000) x1  4 Nb 2.67, 8 Ni 2.67-2.71
Rh (0.5000, 0.0000, 0.5000) x1  4 Nb 2.69, 4 Ni 2.70, 4 Rh 2.71


(13)
Material: NbNiRh
Method: DFT, PBE
State: optimized geometry

Values from the calculation:
Volume: 173.8 Å³ per cell
DFT formation energy: -0.352 eV/atom
Total energy: -8.086 eV/atom

Cell lengths 3.9536, 3.6020, 12.2047 Å; angles 90.00, 90.00, 90.00 degrees
Last column: nearest neighbours and their distance in Å.
Space group Amm2 (No. 38)
One atom of each set of equivalent atoms:
Nb (0.0000, 0.0000, 0.0000) x2  6 Rh 2.66-2.69, 4 Ni 2.68-2.76
Nb (0.5000, 0.0000, 0.1967) x2  6 Ni 2.62-2.69, 4 Rh 2.63-2.80
Ni (0.0000, 0.0000, 0.6709) x2  6 Nb 2.69-2.76, 4 Rh 2.69-2.73, 2 Ni 2.97
Ni (0.5000, 0.0000, 0.8522) x2  4 Nb 2.62-2.68, 6 Rh 2.68-2.74
Rh (0.0000, 0.0000, 0.3394) x2  4 Nb 2.63-2.66, 6 Ni 2.68-2.73
Rh (0.5000, 0.0000, 0.5210) x2  6 Nb 2.69-2.80, 4 Ni 2.69-2.74, 2 Rh 2.97


(14)
Material: NbNiRh
Method: DFT, PBE
State: optimized geometry

Values from the calculation:
Volume: 174.3 Å³ per cell
DFT formation energy: -0.324 eV/atom
Total energy: -8.059 eV/atom

Cell lengths 4.2789, 2.9718, 13.7101 Å; angles 90.00, 90.00, 90.00 degrees
Last column: nearest neighbours and their distance in Å.
Space group Amm2 (No. 38)
One atom of each set of equivalent atoms:
Nb (0.0000, 0.0000, 0.0000) x2  4 Rh 2.65-2.67, 6 Ni 2.67-2.68
Nb (0.5000, 0.0000, 0.2170) x2  4 Ni 2.70-2.83, 6 Rh 2.71-2.73, 2 Nb 2.97
Ni (0.5000, 0.0000, 0.5416) x2  2 Ni 2.65, 6 Nb 2.67-2.83, 2 Rh 2.70
Ni (0.5000, 0.0000, 0.8818) x2  2 Ni 2.65, 4 Rh 2.67, 4 Nb 2.68-2.70
Rh (0.0000, 0.0000, 0.3403) x2  4 Nb 2.65-2.73, 4 Ni 2.67, 2 Rh 2.86
Rh (0.0000, 0.0000, 0.6619) x2  6 Nb 2.67-2.71, 2 Ni 2.70, 4 Rh 2.86-2.97


(15)
Material: Nb3Ni2Rh8
Method: DFT, PBE
State: optimized geometry

Values from the calculation:
Volume: 618.0 Å³ per cell
DFT formation energy: 0.095 eV/atom
Total energy: -7.642 eV/atom

Cell lengths 5.1115, 5.1115, 27.3112 Å; angles 90.00, 90.00, 120.00 degrees
Last column: nearest neighbours and their distance in Å.
Space group R-3m (No. 166, hexagonal axes)
One atom of each set of equivalent atoms:
Nb (0.0000, 0.0000, 0.0000) x3  6 Ni 3.04, 12 Rh 3.11-3.34
Nb (0.0000, 0.0000, 0.1842) x6  4 Rh 2.51-2.73
Ni (0.0000, 0.0000, 0.3595) x6  4 Rh 2.27-2.50
Rh (0.0000, 0.0000, 0.2763) x6  1 Ni 2.27, 1 Nb 2.51
Rh (0.0012, 0.5006, 0.2331) x18  1 Ni 2.50, 4 Rh 2.55-2.56, 1 Nb 2.73


(16)
Material: Nb3Ni2Rh3
Method: DFT, PBE
State: optimized geometry

Values from the calculation:
Volume: 244.8 Å³ per cell
DFT formation energy: -0.080 eV/atom
Total energy: -8.058 eV/atom

Cell lengths 7.7120, 7.7120, 4.7531 Å; angles 90.00, 90.00, 120.00 degrees
Last column: nearest neighbours and their distance in Å.
Space group P6_3/mcm (No. 193)
One atom of each set of equivalent atoms:
Nb (0.0000, 0.3952, 0.2500) x6  5 Rh 2.65-2.96, 4 Ni 2.65, 2 Nb 2.87
Ni (0.3333, 0.6667, 0.0000) x4  2 Ni 2.38, 6 Nb 2.65
Rh (0.0000, 0.2206, 0.7500) x6  5 Nb 2.65-2.96, 6 Rh 2.92-2.95


(17)
Material: Nb2Ni2Rh
Method: DFT, PBE
State: optimized geometry

Values from the calculation:
Volume: 289.9 Å³ per cell
DFT formation energy: -0.233 eV/atom
Total energy: -8.044 eV/atom

Cell lengths 9.3491, 4.5600, 7.2219 Å; angles 90.00, 109.69, 90.00 degrees
Last column: nearest neighbours and their distance in Å.
Space group C2/c (No. 15)
One atom of each set of equivalent atoms:
Nb (0.1705, 0.1750, 0.1415) x8  6 Ni 2.57-2.87, 2 Rh 2.64-2.74, 2 Nb 2.88
Ni (0.1169, 0.3265, 0.4646) x8  1 Ni 2.47, 4 Nb 2.57-2.64, 2 Rh 2.65-2.70
Rh (0.0000, 0.2043, 0.7500) x4  4 Nb 2.64-2.74, 6 Ni 2.65-2.88


(18)
Material: Nb4Ni4Rh3
Method: DFT, PBE
State: optimized geometry

Values from the calculation:
Volume: 325.5 Å³ per cell
DFT formation energy: -0.104 eV/atom
Total energy: -7.873 eV/atom

Cell lengths 2.7973, 8.6163, 13.5048 Å; angles 90.00, 90.00, 90.00 degrees
Last column: nearest neighbours and their distance in Å.
Space group Immm (No. 71)
One atom of each set of equivalent atoms:
Nb (0.0000, 0.0000, 0.1956) x4  3 Rh 2.64-2.94, 6 Ni 2.64-2.67, 2 Nb 2.80
Nb (0.0000, 0.2196, 0.5000) x4  2 Ni 2.43
Ni (0.0000, 0.2408, 0.3206) x8  2 Ni 2.37, 3 Nb 2.43-2.64
Rh (0.0000, 0.0000, 0.0000) x2  6 Nb 2.64-2.79, 2 Rh 2.80
Rh (0.0000, 0.5000, 0.1133) x4  4 Ni 2.66, 2 Rh 2.80, 6 Nb 2.81-2.94


(19)
Material: NbNi4Rh2
Method: DFT, PBE
State: optimized geometry

Values from the calculation:
Volume: 366.5 Å³ per cell
DFT formation energy: -0.050 eV/atom
Total energy: -6.893 eV/atom

Cell lengths 8.4947, 4.8370, 8.9199 Å; angles 90.00, 90.00, 90.00 degrees
Last column: nearest neighbours and their distance in Å.
Space group Cmce (No. 64)
One atom of each set of equivalent atoms:
Nb (0.0000, 0.0000, 0.0000) x4  2 Ni 2.48, 2 Rh 2.73
Ni (0.0000, 0.0123, 0.2777) x8  6 Ni 2.44-2.47, 1 Nb 2.48, 2 Rh 2.50
Ni (0.2500, 0.2428, 0.7500) x8  6 Ni 2.42-2.47, 4 Rh 2.59-2.62
Rh (0.1789, 0.0000, 0.5000) x8  6 Ni 2.50-2.62, 2 Rh 2.70, 1 Nb 2.73


(20)
Material: NbNiRh
Method: DFT, PBE
State: optimized geometry

Values from the calculation:
Volume: 174.9 Å³ per cell
DFT formation energy: -0.226 eV/atom
Total energy: -7.960 eV/atom

Cell lengths 10.0389, 2.7864, 7.1547 Å; angles 90.00, 119.07, 90.00 degrees
Last column: nearest neighbours and their distance in Å.
Space group Cm (No. 8)
One atom of each set of equivalent atoms:
Nb (0.0000, 0.0000, 0.0000) x2  4 Ni 2.69-2.80, 5 Rh 2.70-2.77, 2 Nb 2.79
Nb (0.1726, 0.0000, 0.6123) x2  5 Ni 2.55-2.85, 4 Rh 2.71-2.73, 2 Nb 2.79
Ni (0.2338, 0.5000, 0.3405) x2  4 Ni 2.55-2.79, 4 Rh 2.63-2.76, 4 Nb 2.69-2.80
Ni (0.4369, 0.0000, 0.6442) x2  5 Nb 2.55-2.85, 4 Ni 2.55-2.79, 2 Rh 2.58-2.64
Rh (0.2193, 0.5000, 0.9635) x2  2 Ni 2.63-2.64, 5 Nb 2.70-2.72, 4 Rh 2.70-2.79
Rh (0.4428, 0.0000, 0.2876) x2  4 Ni 2.58-2.76, 4 Rh 2.70-2.79, 4 Nb 2.73-2.77


(21)
Material: Nb3Ni2Rh3
Method: DFT, PBE
State: optimized geometry

Values from the calculation:
Volume: 118.3 Å³ per cell
DFT formation energy: -0.339 eV/atom
Total energy: -8.317 eV/atom

Cell lengths 3.8859, 3.8944, 7.8172 Å; angles 90.00, 90.00, 90.00 degrees
Last column: nearest neighbours and their distance in Å.
Space group Pmmm (No. 47)
One atom of each set of equivalent atoms:
Nb (0.0000, 0.0000, 0.0000) x1  4 Rh 2.75, 4 Ni 2.80, 4 Nb 2.83
Nb (0.0000, 0.5000, 0.2623) x2  6 Rh 2.69-2.82, 4 Ni 2.75, 2 Nb 2.83
Ni (0.5000, 0.0000, 0.2581) x2  6 Rh 2.71-2.80, 6 Nb 2.75-2.80
Rh (0.0000, 0.0000, 0.5000) x1  4 Nb 2.69, 4 Ni 2.71, 4 Rh 2.75
Rh (0.5000, 0.5000, 0.0000) x1  8 Nb 2.75-2.82, 4 Ni 2.80
Rh (0.5000, 0.5000, 0.5000) x1  4 Nb 2.69, 4 Ni 2.71, 4 Rh 2.75